Material: Ac2CeS3F3
Method: DFT, PBE-GGA
State: relaxed

Formation energy from raw total energies = -2.64 eV per atom

abc: 7.5494 7.5494 4.0292
angles: 90.00 90.00 120.00
Space group P-62m (No. 189)
Inequivalent atoms, fractional coordinates:
Ac 0.3333 0.6667 0.0000 x2
Ce 0.0000 0.0000 0.5000 x1
S 0.0000 0.7425 0.0000 x3
F 0.0000 0.4218 0.5000 x3


Material: Cs2Ca2SbO6
Method: DFT, PBE-GGA
State: relaxed

Formation energy from raw total energies = -1.92 eV per atom

abc: 6.0315 10.3319 7.2578
angles: 90.00 107.43 90.00
Space group C2/m (No. 12)
Inequivalent atoms, fractional coordinates:
Cs 0.0000 0.1688 0.0000 x4
Ca 0.0000 0.3377 0.5000 x4
Sb 0.0000 0.0000 0.5000 x2
O 0.1962 0.1463 0.6573 x8
O 0.2293 0.0000 0.3432 x4


Material: Ce2Pu2CoGe4
Method: DFT, PBE-GGA
State: relaxed

Energy of formation = -9.80 kcal/mol of atoms

abc: 6.9332 6.9332 8.1931
angles: 90.00 90.00 90.00
Space group I4/mmm (No. 139)
Inequivalent atoms, fractional coordinates:
Ce 0.0000 0.5000 0.2500 x4
Pu 0.0000 0.0000 0.1818 x4
Co 0.0000 0.0000 0.5000 x2
Ge 0.2372 0.2372 0.5000 x8


Material: MnRuAuCS
Method: DFT, PBE-GGA
State: relaxed

Formation energy from raw total energies = 0.13 eV per atom
Energy above the lowest structure with this stoichiometry = 0 meV/atom

abc: 3.1772 3.1772 24.1775
angles: 90.00 90.00 120.00
Space group R3m (No. 160, hexagonal axes)
Inequivalent atoms, fractional coordinates:
Mn 0.0000 0.0000 0.0000 x3
Ru 0.0000 0.0000 0.7509 x3
Au 0.0000 0.0000 0.2453 x3
C 0.0000 0.0000 0.3559 x3
S 0.0000 0.0000 0.1405 x3


Material: NaHgBiS3
Method: DFT, PBE-GGA
State: relaxed

Formation energy from raw total energies = -0.45 eV per atom

abc: 8.4048 4.0733 9.6718
angles: 90.00 92.82 90.00
Space group P2_1/m (No. 11)
Inequivalent atoms, fractional coordinates:
Na 0.1502 0.2500 0.2066 x2
Hg 0.1324 0.2500 0.5918 x2
Bi 0.3651 0.7500 0.8574 x2
S 0.1380 0.2500 0.8596 x2
S 0.2093 0.7500 0.4532 x2
S 0.3828 0.7500 0.1232 x2


Material: Re2Se
Method: DFT, PBE-GGA
State: relaxed

Formation energy from raw total energies = 1.17 eV per atom
Energy above the lowest structure with this stoichiometry = 1099 meV/atom

abc: 5.8387 5.8387 5.8387
angles: 90.00 90.00 90.00
Space group Fm-3m (No. 225)
Inequivalent atoms, fractional coordinates:
Re 0.2500 0.2500 0.2500 x8
Se 0.0000 0.0000 0.0000 x4


Material: GaSb2Se2
Method: DFT, PBE-GGA
State: relaxed

Formation energy from raw total energies = -0.01 eV per atom
Energy above the lowest structure with this stoichiometry = 0 meV/atom

abc: 8.1318 8.1318 4.0747
angles: 90.00 90.00 90.00
Space group P4/mbm (No. 127)
Inequivalent atoms, fractional coordinates:
Ga 0.0000 0.0000 0.0000 x2
Sb 0.1853 0.3147 0.0000 x4
Se 0.1582 0.6582 0.5000 x4


Material: Zn2GaAg
Method: DFT, PBE-GGA
State: relaxed

Energy of formation = 0.32 kcal/mol of atoms

abc: 3.4699 3.4699 5.4692
angles: 90.00 90.00 90.00
Space group P4/mmm (No. 123)
Inequivalent atoms, fractional coordinates:
Zn 0.0000 0.0000 0.2491 x2
Ga 0.5000 0.5000 0.0000 x1
Ag 0.5000 0.5000 0.5000 x1


Material: La2YSi
Method: DFT, PBE-GGA
State: relaxed

Formation energy from raw total energies = -0.12 eV per atom

abc: 8.9822 8.9822 6.0707
angles: 90.00 90.00 90.00
Space group I-42d (No. 122)
Inequivalent atoms, fractional coordinates:
La 0.2000 0.2500 0.1250 x8
Y 0.0000 0.0000 0.5000 x4
Si 0.0000 0.0000 0.0000 x4


Material: Ce2RhAu
Method: DFT, PBE-GGA
State: relaxed

Energy of formation = -14.65 kcal/mol of atoms

abc: 3.5916 3.5916 7.1256
angles: 90.00 90.00 90.00
Space group P4/mmm (No. 123)
Inequivalent atoms, fractional coordinates:
Ce 0.0000 0.0000 0.2268 x2
Rh 0.5000 0.5000 0.0000 x1
Au 0.5000 0.5000 0.5000 x1


Material: PrZn9Ga2
Method: DFT, PBE-GGA
State: relaxed

Energy of formation = -0.71 kcal/mol of atoms
Energy above the lowest structure with this stoichiometry = 136 meV/atom

abc: 8.3916 8.3916 3.5600
angles: 90.00 90.00 120.00
Space group P6/mmm (No. 191)
Inequivalent atoms, fractional coordinates:
Pr 0.0000 0.0000 0.0000 x1
Zn 0.0000 0.5000 0.0000 x3
Zn 0.1872 0.3743 0.5000 x6
Ga 0.3333 0.6667 0.0000 x2


Material: ZnTcTeIr2
Method: DFT, PBE-GGA
State: relaxed

Formation energy from raw total energies = 1.79 eV per atom

abc: 4.8752 4.8752 4.8312
angles: 90.00 90.00 90.00
Space group P4/mmm (No. 123)
Inequivalent atoms, fractional coordinates:
Zn 0.0000 0.0000 0.0000 x1
Tc 0.5000 0.5000 0.0000 x1
Te 0.0000 0.0000 0.5000 x1
Ir 0.0000 0.5000 0.5000 x2


Material: Pr3PuAs4
Method: DFT, PBE-GGA
State: relaxed

Energy of formation = -31.23 kcal/mol of atoms
Energy above the lowest structure with this stoichiometry = 10 meV/atom

abc: 6.0384 6.0384 6.0384
angles: 90.00 90.00 90.00
Space group Pm-3m (No. 221)
Inequivalent atoms, fractional coordinates:
Pr 0.0000 0.0000 0.5000 x3
Pu 0.5000 0.5000 0.5000 x1
As 0.0000 0.0000 0.0000 x1
As 0.0000 0.5000 0.5000 x3


Material: NpHg3Cl6O2
Method: DFT, PBE-GGA
State: relaxed

Formation energy from raw total energies = -0.93 eV per atom

abc: 12.4034 7.2692 7.2756
angles: 90.00 91.84 90.00
Space group C2/m (No. 12)
Inequivalent atoms, fractional coordinates:
Np 0.0000 0.0000 0.0000 x2
Hg 0.0000 0.5000 0.5000 x2
Hg 0.2500 0.2500 0.5000 x4
Cl 0.1049 0.0000 0.6875 x4
Cl 0.1215 0.2525 0.1474 x8
O 0.1634 0.5000 0.5643 x4


Material: Sb2OsRu
Method: DFT, PBE-GGA
State: relaxed

Formation energy from raw total energies = 0.39 eV per atom
Energy above the lowest structure with this stoichiometry = 137 meV/atom

abc: 3.1699 3.1699 7.0036
angles: 90.00 90.00 90.00
Space group P4/mmm (No. 123)
Inequivalent atoms, fractional coordinates:
Sb 0.0000 0.0000 0.2485 x2
Os 0.5000 0.5000 0.5000 x1
Ru 0.5000 0.5000 0.0000 x1


Material: Cs3Li2ScF9
Method: DFT, PBE-GGA
State: relaxed

Formation energy from raw total energies = -2.93 eV per atom

abc: 6.1404 6.1404 7.6083
angles: 90.00 90.00 120.00
Space group P-3m1 (No. 164)
Inequivalent atoms, fractional coordinates:
Cs 0.0000 0.0000 0.0000 x1
Cs 0.3333 0.6667 0.6763 x2
Li 0.3333 0.6667 0.1619 x2
Sc 0.0000 0.0000 0.5000 x1
F 0.0000 0.5000 0.0000 x3
F 0.1577 0.3155 0.3440 x6


Material: PrTlO4
Method: DFT, PBE-GGA
State: relaxed

Formation energy from raw total energies = -1.59 eV per atom
Energy above the lowest structure with this stoichiometry = 0 meV/atom

abc: 7.1188 3.8129 6.5373
angles: 90.00 94.65 90.00
Space group Cm (No. 8)
Inequivalent atoms, fractional coordinates:
Pr 0.0000 0.0000 0.0000 x2
Tl 0.3536 0.0000 0.4629 x2
O 0.0295 0.0000 0.3793 x2
O 0.0839 0.5000 0.7642 x2
O 0.2702 0.5000 0.6846 x2
O 0.3262 0.0000 0.0877 x2


Material: Cr2Os
Method: DFT, PBE-GGA
State: relaxed

Energy of formation = 18.97 kcal/mol of atoms

abc: 4.2024 4.2024 2.8105
angles: 90.00 90.00 90.00
Space group P4/mmm (No. 123)
Inequivalent atoms, fractional coordinates:
Cr 0.0000 0.5000 0.0000 x2
Os 0.0000 0.0000 0.5000 x1


Material: TiNb2Se6
Method: DFT, PBE-GGA
State: relaxed

Formation energy from raw total energies = -0.76 eV per atom
Energy above the lowest structure with this stoichiometry = 164 meV/atom

abc: 6.3531 6.3531 10.4940
angles: 90.00 90.00 90.00
Space group P4_2/mnm (No. 136)
Inequivalent atoms, fractional coordinates:
Ti 0.0000 0.0000 0.0000 x2
Nb 0.0000 0.0000 0.3407 x4
Se 0.2021 0.2021 0.1654 x8
Se 0.2110 0.2110 0.5000 x4


Material: CsTlF3
Method: DFT, PBE-GGA
State: relaxed

Formation energy from raw total energies = -1.91 eV per atom

abc: 3.9831 3.9831 7.2552
angles: 90.00 90.00 90.00
Space group P4mm (No. 99)
Inequivalent atoms, fractional coordinates:
Cs 0.0000 0.0000 0.0000 x1
Tl 0.5000 0.5000 0.4581 x1
F 0.0000 0.0000 0.6077 x1
F 0.0000 0.5000 0.2776 x2


Material: Sr2MnAs
Method: DFT, PBE-GGA
State: relaxed

Energy of formation = -1.87 kcal/mol of atoms

abc: 3.6978 3.6978 8.9531
angles: 90.00 90.00 90.00
Space group P4mm (No. 99)
Inequivalent atoms, fractional coordinates:
Sr 0.0000 0.0000 0.0000 x1
Sr 0.5000 0.5000 0.3894 x1
Mn 0.5000 0.5000 0.7278 x1
As 0.0000 0.0000 0.6487 x1


Material: AlCdW
Method: DFT, PBE-GGA
State: relaxed

Energy of formation = 10.13 kcal/mol of atoms
Energy above the lowest structure with this stoichiometry = 128 meV/atom

abc: 2.8568 3.7006 9.9438
angles: 90.00 90.00 90.00
Space group Imm2 (No. 44)
Inequivalent atoms, fractional coordinates:
Al 0.0000 0.0000 0.0000 x2
Cd 0.0000 0.0000 0.6824 x2
W 0.0000 0.0000 0.3689 x2


Material: Ba2NaSb
Method: DFT, PBE-GGA
State: relaxed

Formation energy from raw total energies = -0.59 eV per atom

abc: 4.4281 4.4281 8.9731
angles: 90.00 90.00 90.00
Space group P4/mmm (No. 123)
Inequivalent atoms, fractional coordinates:
Ba 0.0000 0.0000 0.1998 x2
Na 0.5000 0.5000 0.5000 x1
Sb 0.5000 0.5000 0.0000 x1


Material: H2Pt2I7
Method: DFT, PBE-GGA
State: relaxed

Total DFT energy (no corrections) = -58.57 eV per cell

abc: 9.0284 17.9007 6.9407
angles: 90.00 130.24 90.00
Space group C2/m (No. 12)
Inequivalent atoms, fractional coordinates:
H 0.0000 0.1527 0.0000 x4
Pt 0.1329 0.0000 0.3717 x4
I 0.0000 0.5000 0.5000 x2
I 0.1377 0.1479 0.3555 x8
I 0.2505 0.0000 0.8566 x4


Material: LiSc4Hg5
Method: DFT, PBE-GGA
State: relaxed

Energy of formation = -9.35 kcal/mol of atoms

abc: 3.4801 3.4801 17.5440
angles: 90.00 90.00 90.00
Space group P4/mmm (No. 123)
Inequivalent atoms, fractional coordinates:
Li 0.0000 0.0000 0.0000 x1
Sc 0.0000 0.0000 0.1941 x2
Sc 0.0000 0.0000 0.3982 x2
Hg 0.5000 0.5000 0.0934 x2
Hg 0.5000 0.5000 0.2971 x2
Hg 0.5000 0.5000 0.5000 x1